Here is a relaxed YCdPd2 crystal from Alexandria via LeMat-Bulk. Energies are from PBE.

Values from the calculation:
As for the space-group type: I-42d (122). The value obtained for the formation enthalpy at 0 K is -0.25 eV/atom. Its total moment is 0.000 μB/atom. The total energy is -4.693 eV per atom.

The structure in POSCAR format:
```
YCdPd2
1.0
4.3344 0.0000 0.0000
0.0000 4.3344 0.0000
0.0000 0.0000 18.5371
Y Cd Pd
4 4 8
Cartesian
0.0000 0.0000 0.0000
0.0000 2.1672 4.6343
2.1672 0.0000 13.9028
2.1672 2.1672 9.2685
0.0000 0.0000 9.2685
0.0000 2.1672 13.9028
2.1672 0.0000 4.6343
2.1672 2.1672 0.0000
1.0073 1.0836 11.5857
1.0836 3.1745 16.2200
1.0836 3.3271 6.9514
1.1599 1.0836 2.3171
3.1745 3.2508 2.3171
3.2508 1.0073 6.9514
3.2508 1.1599 16.2200
3.3271 3.2508 11.5857
```